Record 1
Density functional theory data (GGA-PBE) for a geometry-optimized NiSnP3 structure.

Cell lengths 4.4918, 4.4918, 4.4918 Å; angles 90.00, 90.00, 90.00 degrees
Last column: nearest neighbours and their distance in Å.
Fractional positions:
Ni 0.0000 0.0000 0.0000  6 P 2.25
Sn 0.5000 0.5000 0.5000  12 P 3.18
P 0.0000 0.5000 0.0000  2 Ni 2.25
P 0.0000 0.0000 0.5000  2 Ni 2.25
P 0.5000 0.0000 0.0000  2 Ni 2.25

formation energy	48.6	kJ/mol of atoms
space-group type	Pm-3m
VASP energy	-23.50	eV for the cell shown
relative energy among the computed polymorphs	0	kJ/mol of formula units
N(E_F)	7.9	states/eV/cell

=====

Record 2
Density functional theory data (GGA-PBE) for a geometry-optimized ScSeS structure.

Cell lengths 7.3234, 3.5817, 11.9452 Å; angles 90.00, 127.61, 90.00 degrees
Last column: nearest neighbours and their distance in Å.
Fractional positions:
Sc 0.8350 0.0000 0.0486  4 S 2.60-2.67, 2 Se 2.80
Sc 0.8350 0.5000 0.5486  4 S 2.60-2.67, 2 Se 2.80
Sc 0.3038 0.0000 0.0294  3 S 2.59-2.77, 4 Se 2.79-2.80
Sc 0.3038 0.5000 0.5294  3 S 2.59-2.77, 4 Se 2.79-2.80
S 0.5710 0.0000 0.5415  4 Sc 2.59-2.60
S 0.5710 0.5000 0.0415  4 Sc 2.59-2.60
S 0.1201 0.0000 0.7467  1 Se 2.27
S 0.1201 0.5000 0.2467  1 Se 2.27
Se 0.4302 0.0000 0.7462  1 S 2.27
Se 0.4302 0.5000 0.2462  1 S 2.27
Se 0.9385 0.0000 0.4139  4 Sc 2.79-2.80
Se 0.9385 0.5000 0.9139  4 Sc 2.79-2.80

space-group type	Cm
VASP energy	-72.40	eV for the cell shown
relative energy among the computed polymorphs	27	kJ/mol of formula units
N(E_F)	1.0	states/eV/cell

=====

Record 3
Density functional theory data (GGA-PBE) for a geometry-optimized YTa2CoMo structure.

Cell lengths 4.6812, 4.6241, 4.6812 Å; angles 90.00, 90.00, 90.00 degrees
Last column: nearest neighbours and their distance in Å.
Fractional positions:
Y 0.5000 0.5000 0.5000  8 Ta 3.29, 4 Mo 3.31
Mo 0.0000 0.5000 0.0000  2 Co 2.31
Co 0.0000 0.0000 0.0000  2 Mo 2.31, 4 Ta 2.34
Ta 0.0000 0.0000 0.5000  2 Co 2.34
Ta 0.5000 0.0000 0.0000  2 Co 2.34

formation energy	63.9	kJ/mol of atoms
space-group type	P4/mmm
VASP energy	-44.80	eV for the cell shown
N(E_F)	7.7	states/eV/cell

=====

Record 4
Density functional theory data (GGA-PBE) for a geometry-optimized Cs2TlBi2S6 structure.

Cell lengths 7.0237, 7.0237, 8.7253 Å; angles 97.79, 97.79, 120.07 degrees
Last column: nearest neighbours and their distance in Å.
Fractional positions:
Cs 0.8326 0.1674 0.0000  6 S 3.53-3.54
Cs 0.1674 0.8326 0.0000  6 S 3.53-3.54
Tl 0.0000 0.0000 0.5000  6 S 2.72-2.79
Bi 0.3316 0.6684 0.5000  6 S 2.80-2.84
Bi 0.6684 0.3316 0.5000  6 S 2.80-2.84
S 0.7388 0.7388 0.6807  1 Tl 2.72, 2 Bi 2.84
S 0.0621 0.3928 0.6847  1 Tl 2.79, 2 Bi 2.80-2.82
S 0.2612 0.2612 0.3193  1 Tl 2.72, 2 Bi 2.84
S 0.3928 0.0621 0.6847  1 Tl 2.79, 2 Bi 2.80-2.82
S 0.9379 0.6072 0.3153  1 Tl 2.79, 2 Bi 2.80-2.82
S 0.6072 0.9379 0.3153  1 Tl 2.79, 2 Bi 2.80-2.82

space-group type	C2/m
VASP energy	-42.19	eV for the cell shown
N(E_F)	9.2	states/eV/cell

=====

Record 5
Density functional theory data (GGA-PBE) for a geometry-optimized TaSb2TeC structure.

Cell lengths 5.3549, 5.3549, 5.3140 Å; angles 90.00, 90.00, 90.00 degrees
Last column: nearest neighbours and their distance in Å.
Fractional positions:
Sb 0.0000 0.5000 0.0000  2 Ta 2.68
Sb 0.5000 0.0000 0.0000  2 Ta 2.68
C 0.5000 0.5000 0.5000  8 Sb 3.77, 4 Te 3.79
Te 0.0000 0.0000 0.5000  2 Ta 2.66
Ta 0.0000 0.0000 0.0000  2 Te 2.66, 4 Sb 2.68

space-group type	P4/mmm
VASP energy	-24.26	eV for the cell shown
relative energy among the computed polymorphs	215	kJ/mol of formula units
N(E_F)	4.3	states/eV/cell

=====

Record 6
Density functional theory data (GGA-PBE) for a geometry-optimized Cs4PuU3S8 structure.

Cell lengths 8.2312, 9.3913, 8.2318 Å; angles 115.98, 120.00, 90.00 degrees
Last column: nearest neighbours and their distance in Å.
Fractional positions:
Cs 0.5000 0.0000 0.0000  6 S 3.48
Cs 0.5000 0.0000 0.5000  6 S 3.51-3.52
Cs 0.0000 0.0000 0.0000  6 S 3.51-3.52
Cs 0.0000 0.0000 0.5000  6 S 3.51-3.52
Pu 0.0000 0.5000 0.0000  6 S 2.83
U 0.5000 0.5000 0.0000  6 S 2.78-2.80
U 0.5000 0.5000 0.5000  6 S 2.78-2.80
U 0.0000 0.5000 0.5000  6 S 2.78-2.80
S 0.2297 0.6812 0.9514  2 U 2.78, 1 Pu 2.83
S 0.2297 0.6812 0.4595  2 U 2.78, 1 Pu 2.83
S 0.2728 0.3183 0.5455  3 U 2.80
S 0.7217 0.6812 0.9514  2 U 2.78, 1 Pu 2.83
S 0.2783 0.3188 0.0486  2 U 2.78, 1 Pu 2.83
S 0.7272 0.6817 0.4545  3 U 2.80
S 0.7703 0.3188 0.5405  2 U 2.78, 1 Pu 2.83
S 0.7703 0.3188 0.0486  2 U 2.78, 1 Pu 2.83

space-group type	R-3m
VASP energy	-107.08	eV for the cell shown
N(E_F)	24.9	states/eV/cell

=====

Record 7
Density functional theory data (GGA-PBE) for a geometry-optimized SnSb3Au4 structure.

Cell lengths 5.7567, 5.7567, 5.7567 Å; angles 90.00, 90.00, 90.00 degrees
Last column: nearest neighbours and their distance in Å.
Fractional positions:
Sb 0.0000 0.5000 0.5000  6 Au 2.88
Sb 0.5000 0.0000 0.5000  6 Au 2.88
Sb 0.5000 0.5000 0.0000  6 Au 2.88
Au 0.5000 0.0000 0.0000  2 Sn 2.88, 4 Sb 2.88
Au 0.0000 0.5000 0.0000  2 Sn 2.88, 4 Sb 2.88
Au 0.0000 0.0000 0.5000  2 Sn 2.88, 4 Sb 2.88
Au 0.5000 0.5000 0.5000  6 Sb 2.88
Sn 0.0000 0.0000 0.0000  6 Au 2.88

space-group type	Pm-3m
VASP energy	-30.07	eV for the cell shown
N(E_F)	6.0	states/eV/cell

=====

Record 8
Density functional theory data (GGA-PBE) for a geometry-optimized SmMgIn structure.

Cell lengths 7.6399, 7.6399, 4.7442 Å; angles 90.00, 90.00, 120.00 degrees
Last column: nearest neighbours and their distance in Å.
Fractional positions:
Sm 0.0000 0.5679 0.0000  5 In 3.28-3.30, 2 Mg 3.44
Sm 0.4321 0.4321 0.0000  5 In 3.28-3.30, 2 Mg 3.44
Sm 0.5679 0.0000 0.0000  5 In 3.28-3.30, 2 Mg 3.44
Mg 0.7588 0.7588 0.5000  4 In 2.96-3.00, 2 Mg 3.19
Mg 0.2412 0.0000 0.5000  4 In 2.96-3.00, 2 Mg 3.19
Mg 0.0000 0.2412 0.5000  4 In 2.96-3.00, 2 Mg 3.19
In 0.6667 0.3333 0.5000  3 Mg 2.96, 6 Sm 3.28
In 0.0000 0.0000 0.0000  6 Mg 3.00, 3 Sm 3.30
In 0.3333 0.6667 0.5000  3 Mg 2.96, 6 Sm 3.28

formation energy	-40.2	kJ/mol of atoms
space-group type	P-62m
VASP energy	-30.90	eV for the cell shown
N(E_F)	1.3	states/eV/cell

=====

Record 9
Density functional theory data (GGA-PBE) for a geometry-optimized Cd2CoTc structure.

Cell lengths 2.8528, 2.8504, 8.5783 Å; angles 70.76, 90.00, 90.00 degrees
Last column: nearest neighbours and their distance in Å.
Fractional positions:
Cd 0.0000 0.0268 0.9755  4 Cd 2.85, 4 Tc 2.97
Cd 0.5000 0.2096 0.2886  4 Co 2.80-2.81, 4 Cd 2.85
Co 0.0000 0.4699 0.5291  4 Tc 2.48
Tc 0.5000 0.7937 0.7068  4 Co 2.48

formation energy	17.3	kJ/mol of atoms
space-group type	Pm
VASP energy	-18.59	eV for the cell shown
relative energy among the computed polymorphs	0	kJ/mol of formula units
N(E_F)	2.7	states/eV/cell

=====

Record 10
Density functional theory data (GGA-PBE) for a geometry-optimized MgNpGaRh structure.

Cell lengths 4.7671, 4.7671, 4.7671 Å; angles 60.00, 60.00, 60.00 degrees
Last column: nearest neighbours and their distance in Å.
Fractional positions:
Np 0.0000 0.0000 0.0000  4 Rh 2.92, 4 Ga 2.92
Mg 0.5000 0.5000 0.5000  4 Ga 2.92, 4 Rh 2.92
Rh 0.7500 0.7500 0.7500  4 Mg 2.92, 4 Np 2.92
Ga 0.2500 0.2500 0.2500  4 Mg 2.92, 4 Np 2.92

formation energy	-15.7	kJ/mol of atoms
space-group type	F-43m
VASP energy	-25.57	eV for the cell shown
N(E_F)	10.4	states/eV/cell